## GdY2Er (PBE)

Data for a relaxed structure of GdY2Er.

Output
Crystal system   tetragonal
Symmetry   No. 123
M_tot   7.0 μB/cell
ΔE_f   26 meV/atom
Final energy   -31.5 eV/cell
N(E_F)   7.07 states/eV per cell
Excess energy over the best structure of this formula in the dataset   0.000 eV per atom

Cell lengths 5.030, 5.030, 5.039 Å; angles 90.00, 90.00, 90.00 degrees
Sites, in units of the cell vectors:
Gd 0.000 0.000 0.000
Y 0.000 0.500 0.500
Y 0.500 0.000 0.500
Er 0.500 0.500 0.000

=====

## Gd2ErZn (PBE)

Data for a relaxed structure of Gd2ErZn.

Output
Crystal system   tetragonal
Symmetry   No. 123
M_tot   14.5 μB/cell
ΔE_f   -149 meV/atom
Final energy   -34.6 eV/cell
N(E_F)   5.47 states/eV per cell
Excess energy over the best structure of this formula in the dataset   0.000 eV per atom

Cell lengths 3.578, 3.578, 8.625 Å; angles 90.00, 90.00, 90.00 degrees
Sites, in units of the cell vectors:
Gd 0.000 0.000 0.210
Gd 0.000 0.000 0.790
Er 0.500 0.500 0.500
Zn 0.500 0.500 0.000

=====

## Gd2ErZn (PBE)

Data for a relaxed structure of Gd2ErZn.

Output
Crystal system   tetragonal
Symmetry   No. 123
M_tot   15.4 μB/cell
ΔE_f   -47 meV/atom
Final energy   -34.2 eV/cell
N(E_F)   5.09 states/eV per cell
Excess energy over the best structure of this formula in the dataset   0.102 eV per atom

Cell lengths 4.755, 4.755, 4.754 Å; angles 90.00, 90.00, 90.00 degrees
Sites, in units of the cell vectors:
Gd 0.000 0.500 0.000
Gd 0.500 0.000 0.000
Er 0.000 0.000 0.500
Zn 0.500 0.500 0.500

=====

## Gd2ErZn (PBE)

Data for a relaxed structure of Gd2ErZn.

Output
Crystal system   trigonal
Symmetry   No. 166
M_tot   14.8 μB/cell
ΔE_f   256 meV/atom
Final energy   -33.0 eV/cell
N(E_F)   5.16 states/eV per cell
Excess energy over the best structure of this formula in the dataset   0.406 eV per atom

Cell lengths 11.951, 11.951, 11.951 Å; angles 16.66, 16.66, 16.66 degrees
Sites, in units of the cell vectors:
Gd 0.087 0.087 0.087
Gd 0.913 0.913 0.913
Er 0.500 0.500 0.500
Zn 0.000 0.000 0.000

=====

## GdErZn2 (PBE)

Data for a relaxed structure of GdErZn2.

Output
Crystal system   cubic
Symmetry   No. 225
M_tot   7.7 μB/cell
ΔE_f   -349 meV/atom
Final energy   -22.6 eV/cell
N(E_F)   2.99 states/eV per cell
Excess energy over the best structure of this formula in the dataset   0.000 eV per atom

Cell lengths 5.052, 5.052, 5.052 Å; angles 60.00, 60.00, 60.00 degrees
Sites, in units of the cell vectors:
Gd 0.000 0.000 0.000
Er 0.500 0.500 0.500
Zn 0.250 0.250 0.250
Zn 0.750 0.750 0.750

=====

## Gd2ErZn (PBE)

Data for a relaxed structure of Gd2ErZn.

Output
Crystal system   cubic
Symmetry   No. 225
M_tot   14.9 μB/cell
ΔE_f   18 meV/atom
Final energy   -33.9 eV/cell
N(E_F)   4.41 states/eV per cell
Excess energy over the best structure of this formula in the dataset   0.168 eV per atom

Cell lengths 5.342, 5.342, 5.342 Å; angles 60.00, 60.00, 60.00 degrees
Sites, in units of the cell vectors:
Gd 0.250 0.250 0.250
Gd 0.750 0.750 0.750
Er 0.000 0.000 0.000
Zn 0.500 0.500 0.500

=====

## GdErZn2 (PBE)

Data for a relaxed structure of GdErZn2.

Output
Crystal system   tetragonal
Symmetry   No. 123
M_tot   7.7 μB/cell
ΔE_f   -349 meV/atom
Final energy   -22.6 eV/cell
N(E_F)   3.60 states/eV per cell
Excess energy over the best structure of this formula in the dataset   0.000 eV per atom

Cell lengths 3.565, 3.565, 7.169 Å; angles 90.00, 90.00, 90.00 degrees
Sites, in units of the cell vectors:
Gd 0.000 0.000 0.000
Er 0.000 0.000 0.500
Zn 0.500 0.500 0.261
Zn 0.500 0.500 0.739

=====

## Gd2ErZr (PBE)

Data for a relaxed structure of Gd2ErZr.

Output
Crystal system   tetragonal
Symmetry   No. 123
M_tot   14.0 μB/cell
ΔE_f   97 meV/atom
Final energy   -40.9 eV/cell
N(E_F)   5.46 states/eV per cell
Excess energy over the best structure of this formula in the dataset   0.013 eV per atom

Cell lengths 4.859, 4.859, 4.876 Å; angles 90.00, 90.00, 90.00 degrees
Sites, in units of the cell vectors:
Gd 0.000 0.500 0.000
Gd 0.500 0.000 0.000
Er 0.000 0.000 0.500
Zr 0.500 0.500 0.500

=====

## Gd2ErZr (PBE)

Data for a relaxed structure of Gd2ErZr.

Output
Crystal system   cubic
Symmetry   No. 225
M_tot   16.7 μB/cell
ΔE_f   174 meV/atom
Final energy   -40.6 eV/cell
N(E_F)   5.22 states/eV per cell
Excess energy over the best structure of this formula in the dataset   0.089 eV per atom

Cell lengths 5.503, 5.503, 5.503 Å; angles 60.00, 60.00, 60.00 degrees
Sites, in units of the cell vectors:
Gd 0.250 0.250 0.250
Gd 0.750 0.750 0.750
Er 0.000 0.000 0.000
Zr 0.500 0.500 0.500

=====

## GdErZr (PBE)

Data for a relaxed structure of GdErZr.

Output
Crystal system   tetragonal
Symmetry   No. 107
M_tot   7.4 μB/cell
ΔE_f   77 meV/atom
Final energy   -27.0 eV/cell
N(E_F)   4.18 states/eV per cell
Excess energy over the best structure of this formula in the dataset   0.000 eV per atom

Cell lengths 7.753, 7.753, 7.753 Å; angles 154.74, 154.74, 36.02 degrees
Sites, in units of the cell vectors:
Gd 0.000 0.000 0.000
Er 0.311 0.311 0.000
Zr 0.659 0.659 0.000

=====

## GdErZr (PBE)

Data for a relaxed structure of GdErZr.

Output
Crystal system   trigonal
Symmetry   No. 156
M_tot   7.2 μB/cell
ΔE_f   92 meV/atom
Final energy   -26.9 eV/cell
N(E_F)   3.93 states/eV per cell
Excess energy over the best structure of this formula in the dataset   0.014 eV per atom

Cell lengths 3.405, 3.405, 8.415 Å; angles 90.00, 90.00, 120.00 degrees
Sites, in units of the cell vectors:
Gd 0.000 0.000 0.000
Er 0.667 0.333 0.369
Zr 0.333 0.667 0.682

=====

## Gd2ErZr (PBE)

Data for a relaxed structure of Gd2ErZr.

Output
Crystal system   tetragonal
Symmetry   No. 123
M_tot   14.3 μB/cell
ΔE_f   85 meV/atom
Final energy   -40.9 eV/cell
N(E_F)   5.95 states/eV per cell
Excess energy over the best structure of this formula in the dataset   0.000 eV per atom

Cell lengths 3.427, 3.427, 9.876 Å; angles 90.00, 90.00, 90.00 degrees
Sites, in units of the cell vectors:
Gd 0.000 0.000 0.234
Gd 0.000 0.000 0.766
Er 0.500 0.500 0.500
Zr 0.500 0.500 0.000

=====

## Er2Ge3 (PBE)

Data for a relaxed structure of Er2Ge3.

Output
Crystal system   orthorhombic
Symmetry   No. 38
M_tot   0.0 μB/cell
ΔE_f   -474 meV/atom
Final energy   -25.3 eV/cell
N(E_F)   1.87 states/eV per cell
Excess energy over the best structure of this formula in the dataset   0.244 eV per atom

Cell lengths 6.944, 4.395, 4.395 Å; angles 59.88, 90.00, 90.00 degrees
Sites, in units of the cell vectors:
Er 0.232 0.000 0.000
Er 0.768 0.000 0.000
Ge 0.000 0.667 0.667
Ge 0.500 0.334 0.334
Ge 0.500 0.666 0.666

=====

## ErGe4 (PBE)

Data for a relaxed structure of ErGe4.

Output
Crystal system   cubic
Symmetry   No. 221
M_tot   0.0 μB/cell
ΔE_f   828 meV/atom
Final energy   -18.9 eV/cell
N(E_F)   4.32 states/eV per cell

Cell lengths 5.315, 5.315, 5.315 Å; angles 90.00, 90.00, 90.00 degrees
Sites, in units of the cell vectors:
Er 0.000 0.000 0.000
Ge 0.000 0.000 0.500
Ge 0.000 0.500 0.000
Ge 0.500 0.000 0.000
Ge 0.500 0.500 0.500

=====

## Er2Ge3 (PBE)

Data for a relaxed structure of Er2Ge3.

Output
Crystal system   orthorhombic
Symmetry   No. 71
M_tot   0.0 μB/cell
ΔE_f   -718 meV/atom
Final energy   -26.6 eV/cell
N(E_F)   1.54 states/eV per cell
Excess energy over the best structure of this formula in the dataset   0.000 eV per atom

Cell lengths 5.608, 5.608, 5.608 Å; angles 137.65, 110.49, 84.89 degrees
Sites, in units of the cell vectors:
Er 0.225 0.225 0.000
Er 0.775 0.775 0.000
Ge 0.199 0.500 0.699
Ge 0.500 0.000 0.500
Ge 0.801 0.500 0.301